1.
TmNi4As: optimized geometry, PBE.

Geometry as POSCAR:
```
TmNi4As
1.0
4.8921 0.0000 0.0000
2.4461 4.2367 0.0000
2.4461 1.4122 3.9944
Ni Tm As
4 1 1
Direct
0.1249 0.6250 0.6250
0.6250 0.6250 0.6250
0.6250 0.6250 0.1249
0.6250 0.1249 0.6250
0.0000 0.0000 0.0000
0.2500 0.2500 0.2500
```

The raw total energy is -5.691 eV per atom. Its formation energy from the elements is -317 meV/atom. The calculation puts the total magnetization at 0.0 μB per formula unit. The calculation puts the offset from the most stable computed form at 0.38 eV/f.u.

---

2.
TmNi4As: optimized geometry, PBE.

Geometry as POSCAR:
```
TmNi4As
1.0
-3.3336 -1.0052 -1.3100
-1.3983 -2.8489 5.7446
-2.7204 6.0040 2.3154
Tm Ni As
2 8 2
Direct
0.0000 0.6407 0.7500
0.0000 0.3593 0.2500
0.5000 0.7091 0.0494
0.5000 0.7091 0.4506
0.5000 0.2909 0.9506
0.0000 0.0000 0.5000
0.5000 0.9514 0.7500
0.0000 0.0000 0.0000
0.5000 0.0486 0.2500
0.5000 0.2909 0.5494
0.0000 0.7796 0.2500
0.0000 0.2204 0.7500
```

The raw total energy is -5.755 eV per atom. Its formation energy from the elements is -380 meV/atom. The calculation puts the total magnetization at 0.0 μB per formula unit. The calculation puts the offset from the most stable computed form at 0.00 eV/f.u.

---

3.
TmNiAs: optimized geometry, PBE.

Geometry as POSCAR:
```
TmNiAs
1.0
-2.9071 -2.3227 -1.5471
2.8724 1.4972 -2.3967
6.3901 -9.2501 1.8799
Tm As Ni
3 3 3
Direct
0.4948 0.9895 0.6667
0.4948 0.9895 0.3333
0.4946 0.9891 0.0000
0.1613 0.3226 0.8265
0.1613 0.3226 0.1735
0.8282 0.6563 0.5000
0.8279 0.6559 0.1523
0.1616 0.3231 0.5000
0.8279 0.6559 0.8477
```

The raw total energy is -6.007 eV per atom. Its formation energy from the elements is -1040 meV/atom. The calculation puts the total magnetization at 0.0 μB per formula unit.

---

4.
TmNi6As2: optimized geometry, PBE.

Geometry as POSCAR:
```
TmNi6As2
1.0
3.9101 0.0000 0.0000
0.0000 3.9101 0.0000
0.0000 0.0000 8.0665
As Ni Tm
2 6 1
Direct
0.5000 0.5000 0.8407
0.5000 0.5000 0.1593
0.0000 0.5000 0.6903
0.0000 0.0000 0.5000
0.5000 0.5000 0.5000
0.0000 0.5000 0.3097
0.5000 0.0000 0.3097
0.5000 0.0000 0.6903
0.0000 0.0000 0.0000
```

The raw total energy is -5.721 eV per atom. Its formation energy from the elements is -337 meV/atom. The calculation puts the total magnetization at 1.4 μB per formula unit.

---

- What is the formula in the first record?
  TmNi4As